Entry 1:
ZrInP after structural relaxation, computed with PBE.

Values from the calculation:
electronic total energy: -6.1172 eV/atom
magnetization: 0.00 μB per formula unit
ΔE to the lowest computed polymorph: 0.000 eV/atom
SG: No. 107
formation energy: -0.552 eV/atom

a = 5.8386 Å, b = 5.8386 Å, c = 5.8386 Å
α = 144.57°, β = 144.57°, γ = 50.97°
Sites, in units of the cell vectors:
In 0.9914 0.9914 0.0000
P 0.7236 0.7236 0.0000
Zr 0.2850 0.2850 0.0000

Entry 2:
ZrInP after structural relaxation, computed with PBE.

Values from the calculation:
electronic total energy: -5.6722 eV/atom
magnetization: 0.00 μB per formula unit
ΔE to the lowest computed polymorph: 0.445 eV/atom
SG: No. 216
formation energy: -0.107 eV/atom

a = 4.5422 Å, b = 4.5422 Å, c = 4.5422 Å
α = 60.00°, β = 60.00°, γ = 60.00°
Sites, in units of the cell vectors:
P 0.2500 0.2500 0.2500
Zr 0.0000 0.0000 0.0000
In 0.5000 0.5000 0.5000

Entry 3:
ZrIn2P after structural relaxation, computed with PBE.

Values from the calculation:
electronic total energy: -5.1570 eV/atom
magnetization: 0.00 μB per formula unit
SG: No. 160
formation energy: -0.298 eV/atom

a = 8.4756 Å, b = 8.4756 Å, c = 8.4756 Å
α = 24.66°, β = 24.66°, γ = 24.66°
Sites, in units of the cell vectors:
In 0.9954 0.9954 0.9954
In 0.7636 0.7636 0.7636
P 0.5061 0.5061 0.5061
Zr 0.2349 0.2349 0.2349

Copy entry 1 word for word.
ZrInP after structural relaxation, computed with PBE.

Values from the calculation:
electronic total energy: -6.1172 eV/atom
magnetization: 0.00 μB per formula unit
ΔE to the lowest computed polymorph: 0.000 eV/atom
SG: No. 107
formation energy: -0.552 eV/atom

a = 5.8386 Å, b = 5.8386 Å, c = 5.8386 Å
α = 144.57°, β = 144.57°, γ = 50.97°
Sites, in units of the cell vectors:
In 0.9914 0.9914 0.0000
P 0.7236 0.7236 0.0000
Zr 0.2850 0.2850 0.0000